1.
{"formula": "Rb2ZrHgBr6", "functional": "GGA-PBE", "state": "relaxed", "sg": "R-3m (166)", "mass_density_g_cm3": 3.142, "e_tot_ev_per_atom": -3.490, "polymorph_energy_mev_per_atom": 0, "lattice_angstrom": [[7.676, 0.000, 0.000], [3.838, 6.648, 0.000], [3.838, 2.216, 19.516]], "species": ["Rb", "Rb", "Rb", "Rb", "Zr", "Zr", "Hg", "Hg", "Br", "Br", "Br", "Br", "Br", "Br", "Br", "Br", "Br", "Br", "Br", "Br"], "frac_coords": [[0.855, 0.855, 0.435], [0.145, 0.145, 0.565], [0.688, 0.688, 0.936], [0.312, 0.312, 0.064], [0.000, 0.000, 0.000], [0.500, 0.500, 0.500], [0.584, 0.584, 0.248], [0.416, 0.416, 0.752], [0.852, 0.364, 0.421], [0.364, 0.852, 0.421], [0.364, 0.364, 0.421], [0.148, 0.636, 0.579], [0.636, 0.148, 0.579], [0.636, 0.636, 0.579], [0.701, 0.189, 0.921], [0.189, 0.701, 0.921], [0.189, 0.189, 0.921], [0.299, 0.811, 0.079], [0.811, 0.299, 0.079], [0.811, 0.811, 0.079]]}


2.
{"formula": "TlAg3", "functional": "GGA-PBE", "state": "relaxed", "sg": "I4/mmm (139)", "mass_density_g_cm3": 10.980, "e_tot_ev_per_atom": -2.630, "ef_mev_per_atom": 100, "lattice_angstrom": [[5.363, 0.121, 0.000], [1.906, 5.014, 0.000], [-3.635, -2.568, 2.995]], "species": ["Tl", "Ag", "Ag", "Ag"], "frac_coords": [[0.000, 0.000, 0.000], [0.250, 0.750, 0.500], [0.500, 0.500, 0.000], [0.750, 0.250, 0.500]]}


3.
{"formula": "Sm3Er2Cd3", "functional": "GGA-PBE", "state": "relaxed", "sg": "Immm (71)", "mass_density_g_cm3": 8.187, "e_tot_ev_per_atom": -3.487, "polymorph_energy_mev_per_atom": 0, "ef_mev_per_atom": -233, "lattice_angstrom": [[3.691, 0.000, -0.594], [-0.205, 5.290, -1.272], [-0.015, 0.003, 11.665]], "species": ["Sm", "Sm", "Sm", "Er", "Er", "Cd", "Cd", "Cd"], "frac_coords": [[0.376, 0.376, 0.751], [0.624, 0.624, 0.249], [0.500, 0.000, 0.000], [0.265, 0.765, 0.531], [0.735, 0.235, 0.469], [0.880, 0.880, 0.760], [0.000, 0.500, 0.000], [0.120, 0.120, 0.240]]}


4.
{"formula": "CsNaAgHg2", "functional": "GGA-PBE", "state": "relaxed", "sg": "P4/mmm (123)", "mass_density_g_cm3": 5.542, "e_tot_ev_per_atom": -1.126, "polymorph_energy_mev_per_atom": 90, "ef_mev_per_atom": -1, "lattice_angstrom": [[5.879, 0.000, 0.000], [0.000, 5.879, 0.000], [0.000, 0.000, 5.764]], "species": ["Cs", "Na", "Hg", "Hg", "Ag"], "frac_coords": [[0.500, 0.500, 0.500], [0.000, 0.000, 0.000], [0.000, 0.500, 0.000], [0.500, 0.000, 0.000], [0.000, 0.000, 0.500]]}